# 1
The following is a PBE-GGA calculation of In3IrI after structural relaxation, from Alexandria.

Properties
formation energy without anion corrections	0.15	eV per atom
crystal system	tetragonal

abc: 4.175 4.175 8.497
angles: 90.00 90.00 90.00
Fractional positions:
I: 0.000 0.000 0.280
Ir: 0.500 0.500 0.820
In: 0.000 0.000 0.935
In: 0.500 0.000 0.615
In: 0.000 0.500 0.615


# 2
The following is a PBE-GGA calculation of In3IrI after structural relaxation, from Alexandria.

Properties
formation energy without anion corrections	0.24	eV per atom
crystal system	orthorhombic

abc: 11.131 11.131 5.563
angles: 90.00 90.00 152.94
Fractional positions:
I: 0.191 0.809 0.250
I: 0.809 0.191 0.750
Ir: 0.489 0.511 0.250
Ir: 0.511 0.489 0.750
In: 0.619 0.877 0.250
In: 0.123 0.381 0.250
In: 0.877 0.619 0.750
In: 0.381 0.123 0.750
In: 0.000 0.000 0.000
In: 0.000 0.000 0.500


# 3
The following is a PBE-GGA calculation of In3IrI after structural relaxation, from Alexandria.

Properties
formation energy without anion corrections	-0.10	eV per atom
crystal system	monoclinic

abc: 12.189 9.145 9.145
angles: 94.17 128.18 51.82
Fractional positions:
I: 0.244 0.321 0.525
I: 0.256 0.025 0.821
I: 0.756 0.679 0.475
I: 0.744 0.975 0.179
Ir: 0.750 0.996 0.496
Ir: 0.250 0.004 0.504
Ir: 0.750 0.370 0.870
Ir: 0.250 0.630 0.130
In: 0.528 0.314 0.555
In: 0.972 0.055 0.814
In: 0.472 0.686 0.445
In: 0.028 0.945 0.186
In: 0.125 0.209 0.145
In: 0.375 0.645 0.709
In: 0.875 0.791 0.855
In: 0.625 0.355 0.291
In: 0.672 0.724 0.849
In: 0.828 0.349 0.224
In: 0.328 0.276 0.151
In: 0.172 0.651 0.776


# 4
The following is a PBE-GGA calculation of In2Ir2I after structural relaxation, from Alexandria.

Properties
formation energy without anion corrections	0.39	eV per atom
crystal system	tetragonal

abc: 4.442 4.442 6.518
angles: 70.08 70.08 90.00
Fractional positions:
I: 0.000 0.000 0.000
Ir: 0.388 0.388 0.224
Ir: 0.612 0.612 0.776
In: 0.750 0.250 0.500
In: 0.250 0.750 0.500


# 5
The following is a PBE-GGA calculation of In3IrI after structural relaxation, from Alexandria.

Properties
formation energy without anion corrections	0.32	eV per atom
crystal system	tetragonal

abc: 5.196 5.196 13.391
angles: 78.81 78.81 90.00
Fractional positions:
I: 0.000 0.000 0.000
I: 0.250 0.750 0.500
Ir: 0.632 0.132 0.736
Ir: 0.868 0.368 0.264
In: 0.133 0.885 0.230
In: 0.115 0.867 0.770
In: 0.115 0.362 0.770
In: 0.638 0.885 0.230
In: 0.334 0.334 0.333
In: 0.666 0.666 0.667


# 6
The following is a PBE-GGA calculation of In3IrI after structural relaxation, from Alexandria.

Properties
formation energy without anion corrections	0.15	eV per atom
crystal system	orthorhombic

abc: 3.929 9.269 9.269
angles: 140.87 90.00 90.00
Fractional positions:
I: 0.500 0.114 0.886
Ir: 0.000 0.396 0.604
In: 0.500 0.171 0.303
In: 0.500 0.697 0.829
In: 0.000 0.249 0.751


# 7
The following is a PBE-GGA calculation of LaIn2IrI after structural relaxation, from Alexandria.

Properties
formation energy without anion corrections	-0.65	eV per atom
crystal system	tetragonal

abc: 5.239 5.239 5.531
angles: 90.00 90.00 90.00
Fractional positions:
I: 0.500 0.500 0.500
Ir: 0.000 0.000 0.000
In: 0.000 0.500 0.000
In: 0.500 0.000 0.000
La: 0.000 0.000 0.500


# 8
The following is a PBE-GGA calculation of LaInIrI2 after structural relaxation, from Alexandria.

Properties
formation energy without anion corrections	0.70	eV per atom
crystal system	tetragonal

abc: 6.096 6.909 6.096
angles: 90.00 90.00 90.00
Site moments in Bohr magnetons follow the coordinates.
Fractional positions:
I: 0.000 0.000 0.500  0.00
I: 0.500 0.000 0.000  0.00
Ir: 0.500 0.500 0.500  2.06
In: 0.000 0.500 0.000  -0.04
La: 0.000 0.000 0.000  -0.03